(1)
First-principles (PBE) data for a relaxed structure of LiLaH6Au2, as listed in Alexandria via LeMat-Bulk.

Cell: 5.1040 5.1040 16.4952 Å, 90.00 90.00 120.00°
Space group R-3 (No. 148, hexagonal axes)
One atom of each set of equivalent atoms:
Li1 0.0000 0.0000 0.0000 (multiplicity 3)
La1 0.0000 0.0000 0.5000 (multiplicity 3)
H1 0.0390 0.6094 0.5832 (multiplicity 18)
Au1 0.0000 0.0000 0.2571 (multiplicity 6)

(2)
First-principles (PBE) data for a relaxed structure of KTaIn, as listed in Alexandria via LeMat-Bulk.

Values from the calculation:
Polymorph energy (0 for the lowest one) = 0.020 eV per atom
Formation energy from the elements = 0.70 eV per atom

Cell: 3.1127 3.1127 8.8609 Å, 90.00 90.00 120.00°
Space group P3m1 (No. 156)
One atom of each set of equivalent atoms:
K1 0.0000 0.0000 0.0000 (multiplicity 1)
Ta1 0.6667 0.3333 0.3624 (multiplicity 1)
In1 0.3333 0.6667 0.6458 (multiplicity 1)

(3)
First-principles (PBE) data for a relaxed structure of Pm2Pr3Nd8, as listed in Alexandria via LeMat-Bulk.

Values from the calculation:
Polymorph energy (0 for the lowest one) = 0.065 eV per atom
Formation energy from the elements = 0.21 eV per atom

Cell: 5.841 7.784 11.126 Å, 110.47 90.02 90.00°
Space group P-1 (No. 2)
One atom of each set of equivalent atoms:
Pm1 0.001 0.258 0.016 (multiplicity 2)
Pr1 0.000 0.500 0.500 (multiplicity 1)
Pr2 0.500 0.212 0.500 (multiplicity 2)
Nd1 0.000 0.101 0.287 (multiplicity 2)
Nd2 0.000 0.315 0.713 (multiplicity 2)
Nd3 0.499 0.827 0.154 (multiplicity 2)
Nd4 0.500 0.365 0.230 (multiplicity 2)

(4)
First-principles (PBE) data for a relaxed structure of Ba2ReAs, as listed in Alexandria via LeMat-Bulk.

Values from the calculation:
Formation energy from the elements = 0.24 eV per atom

Cell: 3.480 3.480 9.841 Å, 90.00 90.00 90.00°
Space group P4mm (No. 99)
One atom of each set of equivalent atoms:
Ba1 0.000 0.000 0.000 (multiplicity 1)
Ba2 0.500 0.500 0.418 (multiplicity 1)
Re1 0.000 0.000 0.660 (multiplicity 1)
As1 0.500 0.500 0.758 (multiplicity 1)

(5)
First-principles (PBE) data for a relaxed structure of CaSc2Si, as listed in Alexandria via LeMat-Bulk.

Cell: 7.087 7.087 7.087 Å, 90.00 90.00 90.00°
Space group F-43m (No. 216)
One atom of each set of equivalent atoms:
Ca1 0.000 0.000 0.000 (multiplicity 4)
Sc1 0.000 0.000 0.500 (multiplicity 4)
Sc2 0.250 0.250 0.750 (multiplicity 4)
Si1 0.250 0.250 0.250 (multiplicity 4)

(6)
First-principles (PBE) data for a relaxed structure of CdBi5Pb6, as listed in Alexandria via LeMat-Bulk.

Values from the calculation:
Formation energy from the elements = 0.04 eV per atom

Cell: 14.964 10.100 5.313 Å, 90.00 110.55 90.00°
Space group C2/m (No. 12)
One atom of each set of equivalent atoms:
Cd1 0.000 0.000 0.000 (multiplicity 2)
Bi1 0.000 0.500 0.000 (multiplicity 2)
Bi2 0.156 0.500 0.653 (multiplicity 4)
Bi3 0.178 0.000 0.676 (multiplicity 4)
Pb1 0.000 0.228 0.500 (multiplicity 4)
Pb2 0.161 0.237 0.159 (multiplicity 8)

(7)
First-principles (PBE) data for a relaxed structure of Tb2Er3Sb2, as listed in Alexandria via LeMat-Bulk.

Cell: 12.007 4.250 8.452 Å, 90.00 109.08 90.00°
Space group C2/m (No. 12)
One atom of each set of equivalent atoms:
Tb1 0.131 0.000 0.284 (multiplicity 4)
Er1 0.000 0.500 0.500 (multiplicity 2)
Er2 0.126 0.500 0.946 (multiplicity 4)
Sb1 0.173 0.000 0.694 (multiplicity 4)

(8)
First-principles (PBE) data for a relaxed structure of CoNiP2C, as listed in Alexandria via LeMat-Bulk.

Values from the calculation:
Formation energy from the elements = 0.80 eV per atom

Cell: 4.019 4.019 3.613 Å, 90.00 90.00 90.00°
Space group P4/mmm (No. 123)
One atom of each set of equivalent atoms:
Co1 0.000 0.000 0.000 (multiplicity 1)
Ni1 0.500 0.500 0.000 (multiplicity 1)
P1 0.000 0.500 0.500 (multiplicity 2)
C1 0.000 0.000 0.500 (multiplicity 1)

(9)
First-principles (PBE) data for a relaxed structure of Dy4YAl2, as listed in Alexandria via LeMat-Bulk.

Values from the calculation:
Polymorph energy (0 for the lowest one) = 0.493 eV per atom
Formation energy from the elements = 0.28 eV per atom

Cell: 5.644 5.644 12.663 Å, 90.00 90.00 90.00°
Space group I4/mmm (No. 139)
One atom of each set of equivalent atoms:
Dy1 0.000 0.500 0.000 (multiplicity 4)
Dy2 0.000 0.500 0.250 (multiplicity 4)
Y1 0.000 0.000 0.000 (multiplicity 2)
Al1 0.000 0.000 0.385 (multiplicity 4)

(10)
First-principles (PBE) data for a relaxed structure of PmGe2Bi2Pd7, as listed in Alexandria via LeMat-Bulk.

Values from the calculation:
Formation energy from the elements = -0.44 eV per atom

Cell: 5.825 5.774 14.248 Å, 90.00 97.26 90.00°
Space group C2/m (No. 12)
One atom of each set of equivalent atoms:
Pm1 0.000 0.000 0.000 (multiplicity 2)
Ge1 0.080 0.500 0.256 (multiplicity 4)
Bi1 0.119 0.000 0.381 (multiplicity 4)
Pd1 0.000 0.500 0.000 (multiplicity 2)
Pd2 0.153 0.500 0.432 (multiplicity 4)
Pd3 0.203 0.250 0.846 (multiplicity 8)

(11)
First-principles (PBE) data for a relaxed structure of IrC3, as listed in Alexandria via LeMat-Bulk.

Values from the calculation:
Polymorph energy (0 for the lowest one) = 1.697 eV per atom
Formation energy from the elements = 2.41 eV per atom

Cell: 2.6400 2.6400 5.6168 Å, 90.00 90.00 120.00°
Space group P-6m2 (No. 187)
One atom of each set of equivalent atoms:
Ir1 0.0000 0.0000 0.0000 (multiplicity 1)
C1 0.0000 0.0000 0.5000 (multiplicity 1)
C2 0.3333 0.6667 0.3222 (multiplicity 2)

(12)
First-principles (PBE) data for a relaxed structure of CdWBr, as listed in Alexandria via LeMat-Bulk.

Values from the calculation:
Polymorph energy (0 for the lowest one) = 0.489 eV per atom

Cell: 4.7464 4.7464 2.9727 Å, 90.00 90.00 120.00°
Space group P-6m2 (No. 187)
One atom of each set of equivalent atoms:
Cd1 0.0000 0.0000 0.0000 (multiplicity 1)
W1 0.6667 0.3333 0.5000 (multiplicity 1)
Br1 0.3333 0.6667 0.5000 (multiplicity 1)

Number 1: raw total energy -3.532 eV per atom. Number 2: raw total energy -4.525 eV per atom. Number 3: raw total energy -4.557 eV per atom. Number 4: raw total energy -4.995 eV per atom. Number 5: raw total energy -4.993 eV per atom. Number 6: raw total energy -3.505 eV per atom. Number 7: raw total energy -5.088 eV per atom. Number 8: raw total energy -5.782 eV per atom. Number 9: raw total energy -4.340 eV per atom. Number 10: raw total energy -5.279 eV per atom. Number 11: raw total energy -6.720 eV per atom. Number 12: raw total energy -4.183 eV per atom.